# 1
! ZnAu3C PBE relaxed; values from VASP
&SYSTEM
  ibrav = 0, nat = 5, ntyp = 3
/
ATOMIC_SPECIES
Au 196.97 Au.upf
C 12.01 C.upf
Zn 65.41 Zn.upf
CELL_PARAMETERS angstrom
-0.3341 4.6211 1.3193
-4.4397 0.2094 -1.8579
-1.8395 -1.3448 4.2444
ATOMIC_POSITIONS crystal
Au 0.5000 0.0000 0.0000
Au 0.0000 0.0000 0.5000
Au 0.0000 0.5000 0.0000
C 0.5000 0.5000 0.5000
Zn 0.0000 0.0000 0.0000
! Energy of formation from the pure elements (eV per atom): 1.805
! Polymorph energy (0 for the lowest one) (eV per formula unit): 5.53
! E (eV/atom): -2.26
! Symmetry: Pm-3m, No. 221
! M_tot (μB/f.u.): 1.094



# 2
! ZnAu2C PBE relaxed; values from VASP
&SYSTEM
  ibrav = 0, nat = 8, ntyp = 3
/
ATOMIC_SPECIES
Au 196.97 Au.upf
C 12.01 C.upf
Zn 65.41 Zn.upf
CELL_PARAMETERS angstrom
-0.4251 4.6229 -2.2617
-3.1529 -2.0276 -3.5517
-6.3157 2.5091 0.4202
ATOMIC_POSITIONS crystal
Au 0.8750 0.7750 0.7500
Au 0.2250 0.6250 0.2500
Au 0.3750 0.4750 0.7500
Au 0.5250 0.1250 0.2500
C 0.2500 0.7500 0.5000
C 0.5000 0.5000 0.0000
Zn 0.7500 0.2500 0.5000
Zn 0.0000 0.0000 0.0000
! Energy of formation from the pure elements (eV per atom): 0.865
! Polymorph energy (0 for the lowest one) (eV per formula unit): 0.00
! E (eV/atom): -3.40
! Symmetry: I-42d, No. 122
! M_tot (μB/f.u.): 0.000



# 3
! ZnAuC2 PBE relaxed; values from VASP
&SYSTEM
  ibrav = 0, nat = 8, ntyp = 3
/
ATOMIC_SPECIES
Au 196.97 Au.upf
C 12.01 C.upf
Zn 65.41 Zn.upf
CELL_PARAMETERS angstrom
-4.6371 -0.1913 -1.1958
-1.1543 -0.7335 4.5934
-3.2643 4.2982 2.3663
ATOMIC_POSITIONS crystal
Au 0.7500 0.2500 0.5000
Au 0.0000 0.0000 0.0000
C 0.3750 0.3752 0.7500
C 0.8750 0.8748 0.7500
C 0.6248 0.1250 0.2500
C 0.1252 0.6250 0.2500
Zn 0.2500 0.7500 0.5000
Zn 0.5000 0.5000 0.0000
! Energy of formation from the pure elements (eV per atom): 1.710
! E (eV/atom): -4.04
! Symmetry: I-42d, No. 122
! M_tot (μB/f.u.): 0.000



# 4
! ZnAuC PBE relaxed; values from VASP
&SYSTEM
  ibrav = 0, nat = 3, ntyp = 3
/
ATOMIC_SPECIES
Au 196.97 Au.upf
C 12.01 C.upf
Zn 65.41 Zn.upf
CELL_PARAMETERS angstrom
3.6728 0.0000 0.0000
-1.8364 3.1807 0.0000
0.0000 0.0000 4.0880
ATOMIC_POSITIONS crystal
Au 0.3333 0.6667 0.0000
C 0.3333 0.6667 0.5000
Zn 0.0000 0.0000 0.5000
! Energy of formation from the pure elements (eV per atom): 0.810
! Polymorph energy (0 for the lowest one) (eV per formula unit): 0.94
! E (eV/atom): -3.78
! Symmetry: P-6m2, No. 187
! M_tot (μB/f.u.): 0.000



# 5
! ZnAu2C PBE relaxed; values from VASP
&SYSTEM
  ibrav = 0, nat = 4, ntyp = 3
/
ATOMIC_SPECIES
Zn 65.41 Zn.upf
Au 196.97 Au.upf
C 12.01 C.upf
CELL_PARAMETERS angstrom
1.3420 -4.1581 0.3143
-2.3485 -2.8912 2.3054
-2.2031 -3.1745 -2.0636
ATOMIC_POSITIONS crystal
Zn 0.5000 0.5000 0.5000
Au 0.2500 0.2500 0.2500
Au 0.7500 0.7500 0.7500
C 0.0000 0.0000 0.0000
! Energy of formation from the pure elements (eV per atom): 1.233
! Polymorph energy (0 for the lowest one) (eV per formula unit): 1.47
! E (eV/atom): -3.03
! Symmetry: Fm-3m, No. 225
! M_tot (μB/f.u.): 0.000



# 6
! ZnAuC PBE relaxed; values from VASP
&SYSTEM
  ibrav = 0, nat = 12, ntyp = 3
/
ATOMIC_SPECIES
Zn 65.41 Zn.upf
C 12.01 C.upf
Au 196.97 Au.upf
CELL_PARAMETERS angstrom
-7.1965 -1.3849 1.2811
0.8145 -3.1281 1.1938
2.0604 3.3295 7.3186
ATOMIC_POSITIONS crystal
Zn 0.5194 0.5000 0.1775
Zn 0.5194 0.0000 0.6775
Zn 0.2578 0.5000 0.4663
Zn 0.2578 0.0000 0.9663
C 0.5385 0.5000 0.5406
C 0.6319 0.0000 0.9216
C 0.6319 0.5000 0.4216
C 0.5385 0.0000 0.0406
Au 0.9059 0.0000 0.9063
Au 0.1313 0.0000 0.6603
Au 0.9059 0.5000 0.4063
Au 0.1313 0.5000 0.1603
! Energy of formation from the pure elements (eV per atom): 0.534
! Polymorph energy (0 for the lowest one) (eV per formula unit): 0.11
! E (eV/atom): -4.06
! Symmetry: Cm, No. 8
! M_tot (μB/f.u.): 0.000



# 7
! ZnAuC PBE relaxed; values from VASP
&SYSTEM
  ibrav = 0, nat = 6, ntyp = 3
/
ATOMIC_SPECIES
Zn 65.41 Zn.upf
C 12.01 C.upf
Au 196.97 Au.upf
CELL_PARAMETERS angstrom
-1.6264 0.7616 2.9064
-3.0504 -0.2226 -3.6609
0.9570 -6.8085 0.2775
ATOMIC_POSITIONS crystal
Zn 0.2955 0.0155 0.7806
Zn 0.4556 0.6543 0.4591
C 0.1767 0.1769 0.3767
C 0.0891 0.9292 0.4513
Au 0.0708 0.2635 0.0772
Au 0.6415 0.6152 0.8702
! Energy of formation from the pure elements (eV per atom): 0.496
! Polymorph energy (0 for the lowest one) (eV per formula unit): 0.00
! E (eV/atom): -4.10
! Symmetry: P1, No. 1
! M_tot (μB/f.u.): 0.000



# 8
! ZnAuC PBE relaxed; values from VASP
&SYSTEM
  ibrav = 0, nat = 12, ntyp = 3
/
ATOMIC_SPECIES
C 12.01 C.upf
Zn 65.41 Zn.upf
Au 196.97 Au.upf
CELL_PARAMETERS angstrom
-3.3160 5.5904 2.1120
-2.8938 -1.6684 -0.1272
2.8796 -5.5041 6.6852
ATOMIC_POSITIONS crystal
C 0.3858 0.0000 0.9134
C 0.4482 0.5000 0.5682
C 0.3858 0.5000 0.4134
C 0.4482 0.0000 0.0682
Zn 0.7653 0.5000 0.5469
Zn 0.4762 0.0000 0.7133
Zn 0.7653 0.0000 0.0469
Zn 0.4762 0.5000 0.2133
Au 0.8632 0.5000 0.8663
Au 0.0764 0.5000 0.2193
Au 0.8632 0.0000 0.3663
Au 0.0764 0.0000 0.7193
! Energy of formation from the pure elements (eV per atom): 0.500
! Polymorph energy (0 for the lowest one) (eV per formula unit): 0.01
! E (eV/atom): -4.09
! Symmetry: Cm, No. 8
! M_tot (μB/f.u.): 0.000